# 1
Here is a relaxed structure of CuSi2As3 from Alexandria. Energies are from PBE.

Calculated values
VASP energy (eV/atom): -4.87

a b c (Å): 6.791 6.791 6.774
angles (deg): 99.28 99.28 120.27
Positions (direct):
Cu (0.085, 0.915, 0.500)
Cu (0.915, 0.085, 0.000)
Si (0.252, 0.752, 0.993)
Si (0.397, 0.562, 0.492)
Si (0.562, 0.397, 0.992)
Si (0.752, 0.252, 0.493)
As (0.029, 0.194, 0.368)
As (0.194, 0.029, 0.868)
As (0.371, 0.869, 0.374)
As (0.546, 0.708, 0.871)
As (0.708, 0.546, 0.371)
As (0.869, 0.371, 0.874)

***

# 2
Here is a relaxed structure of CuSiAs2 from Alexandria. Energies are from PBE.

Calculated values
VASP energy (eV/atom): -4.31

a b c (Å): 8.916 8.916 8.916
angles (deg): 19.15 19.15 19.15
Positions (direct):
Cu (0.000, 0.000, 0.000)
Si (0.500, 0.500, 0.500)
As (0.259, 0.259, 0.259)
As (0.741, 0.741, 0.741)

***

# 3
Here is a relaxed structure of CuSiAs from Alexandria. Energies are from PBE.

Calculated values
VASP energy (eV/atom): -4.64

a b c (Å): 3.664 3.985 8.011
angles (deg): 98.30 94.96 101.35
Positions (direct):
Cu (0.235, 0.149, 0.137)
Cu (0.765, 0.851, 0.863)
Si (0.353, 0.288, 0.866)
Si (0.647, 0.712, 0.134)
As (0.190, 0.706, 0.332)
As (0.810, 0.294, 0.668)

***

# 4
Here is a relaxed structure of CuSiAs from Alexandria. Energies are from PBE.

Calculated values
VASP energy (eV/atom): -4.58

a b c (Å): 6.652 6.652 2.785
angles (deg): 101.05 101.05 24.16
Positions (direct):
Cu (0.000, 0.000, 0.000)
Si (0.608, 0.608, 0.602)
As (0.800, 0.800, 0.767)

***

# 5
Here is a relaxed structure of CuSiAs from Alexandria. Energies are from PBE.

Calculated values
VASP energy (eV/atom): -4.62

a b c (Å): 4.053 4.257 6.487
angles (deg): 90.00 107.70 90.00
Positions (direct):
Cu (0.166, 0.250, 0.250)
Cu (0.834, 0.750, 0.750)
Si (0.453, 0.750, 0.389)
Si (0.547, 0.250, 0.611)
As (0.173, 0.250, 0.840)
As (0.827, 0.750, 0.160)

***

# 6
Here is a relaxed structure of Cu2Si2As from Alexandria. Energies are from PBE.

Calculated values
VASP energy (eV/atom): -4.50

a b c (Å): 7.581 7.581 2.576
angles (deg): 90.00 90.00 90.00
Positions (direct):
Cu (0.114, 0.386, 0.000)
Cu (0.386, 0.886, 0.000)
Cu (0.614, 0.114, 0.000)
Cu (0.886, 0.614, 0.000)
Si (0.184, 0.684, 0.500)
Si (0.316, 0.184, 0.500)
Si (0.684, 0.816, 0.500)
Si (0.816, 0.316, 0.500)
As (0.000, 0.000, 0.500)
As (0.500, 0.500, 0.500)

***

# 7
Here is a relaxed structure of CuSiSn2As from Alexandria. Energies are from PBE.

Calculated values
VASP energy (eV/atom): -3.82

a b c (Å): 5.111 5.111 4.611
angles (deg): 90.00 90.00 90.00
Positions (direct):
Cu (0.000, 0.000, 0.000)
Si (0.500, 0.500, 0.500)
Sn (0.000, 0.500, 0.000)
Sn (0.500, 0.000, 0.000)
As (0.000, 0.000, 0.500)

***

# 8
Here is a relaxed structure of CuSi2TeAs from Alexandria. Energies are from PBE.

Calculated values
VASP energy (eV/atom): -3.87

a b c (Å): 4.452 4.452 5.439
angles (deg): 90.00 90.00 90.00
Positions (direct):
Cu (0.000, 0.000, 0.000)
Si (0.000, 0.500, 0.000)
Si (0.500, 0.000, 0.000)
Te (0.000, 0.000, 0.500)
As (0.500, 0.500, 0.500)

***

# 9
Here is a relaxed structure of TiCuSiAs from Alexandria. Energies are from PBE.

Calculated values
VASP energy (eV/atom): -5.99

a b c (Å): 3.562 3.562 9.307
angles (deg): 90.00 90.00 90.00
Positions (direct):
Ti (0.250, 0.250, 0.216)
Ti (0.750, 0.750, 0.784)
Cu (0.250, 0.750, 0.500)
Cu (0.750, 0.250, 0.500)
Si (0.250, 0.750, 0.000)
Si (0.750, 0.250, 0.000)
As (0.250, 0.250, 0.692)
As (0.750, 0.750, 0.308)

***

# 10
Here is a relaxed structure of ZrCu2SiAs from Alexandria. Energies are from PBE.

Calculated values
VASP energy (eV/atom): -5.22

a b c (Å): 4.287 4.287 5.160
angles (deg): 90.00 90.00 90.00
Positions (direct):
Zr (0.000, 0.000, 0.000)
Cu (0.000, 0.500, 0.500)
Cu (0.500, 0.000, 0.500)
Si (0.000, 0.000, 0.500)
As (0.500, 0.500, 0.000)

***

# 11
Here is a relaxed structure of ZrCuSiAs from Alexandria. Energies are from PBE.

Calculated values
VASP energy (eV/atom): -6.29

a b c (Å): 3.676 3.676 9.707
angles (deg): 90.00 90.00 90.00
Positions (direct):
Zr (0.250, 0.250, 0.222)
Zr (0.750, 0.750, 0.778)
Cu (0.250, 0.750, 0.500)
Cu (0.750, 0.250, 0.500)
Si (0.250, 0.750, 0.000)
Si (0.750, 0.250, 0.000)
As (0.250, 0.250, 0.679)
As (0.750, 0.750, 0.321)

***

# 12
Here is a relaxed structure of Sm2Cu3As3 from Alexandria. Energies are from PBE.

Calculated values
Calculated formation energy (meV per atom): -782

a b c (Å): 13.491 4.059 11.149
angles (deg): 90.00 90.00 90.00
Positions (direct):
Sm (0.003, 0.250, 0.159)
Sm (0.205, 0.750, 0.569)
Sm (0.295, 0.250, 0.069)
Sm (0.497, 0.750, 0.659)
Sm (0.503, 0.250, 0.341)
Sm (0.705, 0.750, 0.931)
Sm (0.795, 0.250, 0.431)
Sm (0.997, 0.750, 0.841)
Cu (0.014, 0.250, 0.605)
Cu (0.166, 0.750, 0.275)
Cu (0.224, 0.750, 0.858)
Cu (0.276, 0.250, 0.358)
Cu (0.334, 0.250, 0.775)
Cu (0.486, 0.750, 0.105)
Cu (0.514, 0.250, 0.895)
Cu (0.666, 0.750, 0.225)
Cu (0.724, 0.750, 0.642)
Cu (0.776, 0.250, 0.142)
Cu (0.834, 0.250, 0.725)
Cu (0.986, 0.750, 0.395)
As (0.096, 0.250, 0.400)
As (0.132, 0.750, 0.057)
As (0.146, 0.250, 0.763)
As (0.354, 0.750, 0.263)
As (0.368, 0.250, 0.557)
As (0.404, 0.750, 0.900)
As (0.596, 0.250, 0.100)
As (0.632, 0.750, 0.443)
As (0.646, 0.250, 0.737)
As (0.854, 0.750, 0.237)
As (0.868, 0.250, 0.943)
As (0.904, 0.750, 0.600)